# Dy4Ho3Tm5 (PBE, relaxed)
# calculated volume = 31.4 Å³/atom
# formation energy from the elements = 250 meV per atom
# relative energy among the computed polymorphs = 0.228 eV per atom
data_Dy4Ho3Tm5
_cell_length_a 8.422
_cell_length_b 8.422
_cell_length_c 9.174
_cell_angle_alpha 114.77
_cell_angle_beta 114.77
_cell_angle_gamma 40.34
_space_group_name_H-M_alt 'P 1'
_space_group_IT_number 1
_space_group_name_Hall 'P 1'
loop_
_atom_site_label
_atom_site_type_symbol
_atom_site_fract_x
_atom_site_fract_y
_atom_site_fract_z
_atom_site_occupancy
Dy1 Dy 0.082 0.082 0.441 1
Dy2 Dy 0.213 0.213 0.879 1
Dy3 Dy 0.787 0.787 0.121 1
Dy4 Dy 0.918 0.918 0.559 1
Ho1 Ho 0.210 0.210 0.234 1
Ho2 Ho 0.500 0.500 0.000 1
Ho3 Ho 0.790 0.790 0.766 1
Tm1 Tm 0.000 0.000 0.000 1
Tm2 Tm 0.328 0.328 0.615 1
Tm3 Tm 0.428 0.428 0.300 1
Tm4 Tm 0.572 0.572 0.700 1
Tm5 Tm 0.672 0.672 0.385 1

=====

# Dy4Ho5Tm2 (PBE, relaxed)
# calculated volume = 31.1 Å³/atom
# formation energy from the elements = 60 meV per atom
# relative energy among the computed polymorphs = 0.000 eV per atom
data_Dy4Ho5Tm2
_cell_length_a 10.793
_cell_length_b 10.793
_cell_length_c 9.124
_cell_angle_alpha 102.51
_cell_angle_beta 102.51
_cell_angle_gamma 19.27
_space_group_name_H-M_alt 'P 1'
_space_group_IT_number 1
_space_group_name_Hall 'P 1'
loop_
_atom_site_label
_atom_site_type_symbol
_atom_site_fract_x
_atom_site_fract_y
_atom_site_fract_z
_atom_site_occupancy
Dy1 Dy 0.027 0.027 0.200 1
Dy2 Dy 0.329 0.329 0.583 1
Dy3 Dy 0.671 0.671 0.417 1
Dy4 Dy 0.973 0.973 0.800 1
Ho1 Ho 0.118 0.118 0.699 1
Ho2 Ho 0.249 0.249 0.170 1
Ho3 Ho 0.500 0.500 0.500 1
Ho4 Ho 0.751 0.751 0.830 1
Ho5 Ho 0.882 0.882 0.301 1
Tm1 Tm 0.386 0.386 0.993 1
Tm2 Tm 0.614 0.614 0.007 1

=====

# Dy4Ho4Tm (PBE, relaxed)
# calculated volume = 30.8 Å³/atom
# formation energy from the elements = 21 meV per atom
# relative energy among the computed polymorphs = 0.000 eV per atom
data_Dy4Ho4Tm
_cell_length_a 7.875
_cell_length_b 7.875
_cell_length_c 7.875
_cell_angle_alpha 95.72
_cell_angle_beta 95.72
_cell_angle_gamma 143.21
_space_group_name_H-M_alt 'P 1'
_space_group_IT_number 1
_space_group_name_Hall 'P 1'
loop_
_atom_site_label
_atom_site_type_symbol
_atom_site_fract_x
_atom_site_fract_y
_atom_site_fract_z
_atom_site_occupancy
Dy1 Dy 0.000 0.333 0.333 1
Dy2 Dy 0.000 0.667 0.667 1
Dy3 Dy 0.333 0.000 0.333 1
Dy4 Dy 0.667 0.000 0.667 1
Ho1 Ho 0.334 0.334 0.667 1
Ho2 Ho 0.334 0.666 0.000 1
Ho3 Ho 0.666 0.334 0.000 1
Ho4 Ho 0.666 0.666 0.333 1
Tm1 Tm 0.000 0.000 0.000 1

=====

# Dy2HoTm (PBE, relaxed)
# calculated volume = 30.7 Å³/atom
# formation energy from the elements = 22 meV per atom
# relative energy among the computed polymorphs = 0.020 eV per atom
data_Dy2HoTm
_cell_length_a 3.516
_cell_length_b 3.516
_cell_length_c 9.948
_cell_angle_alpha 90.00
_cell_angle_beta 90.00
_cell_angle_gamma 90.00
_space_group_name_H-M_alt 'P 1'
_space_group_IT_number 1
_space_group_name_Hall 'P 1'
loop_
_atom_site_label
_atom_site_type_symbol
_atom_site_fract_x
_atom_site_fract_y
_atom_site_fract_z
_atom_site_occupancy
Dy1 Dy 0.000 0.000 0.249 1
Dy2 Dy 0.000 0.000 0.751 1
Ho1 Ho 0.500 0.500 0.500 1
Tm1 Tm 0.500 0.500 0.000 1

=====

# Dy5HoTm7 (PBE, relaxed)
# calculated volume = 31.7 Å³/atom
# formation energy from the elements = 264 meV per atom
data_Dy5HoTm7
_cell_length_a 8.563
_cell_length_b 8.563
_cell_length_c 8.563
_cell_angle_alpha 134.48
_cell_angle_beta 100.66
_cell_angle_gamma 96.57
_space_group_name_H-M_alt 'P 1'
_space_group_IT_number 1
_space_group_name_Hall 'P 1'
loop_
_atom_site_label
_atom_site_type_symbol
_atom_site_fract_x
_atom_site_fract_y
_atom_site_fract_z
_atom_site_occupancy
Dy1 Dy 0.000 0.000 0.000 1
Dy2 Dy 0.274 0.231 0.504 1
Dy3 Dy 0.274 0.770 0.043 1
Dy4 Dy 0.727 0.231 0.957 1
Dy5 Dy 0.727 0.770 0.496 1
Ho1 Ho 0.305 0.805 0.500 1
Tm1 Tm 0.082 0.251 0.830 1
Tm2 Tm 0.421 0.251 0.170 1
Tm3 Tm 0.500 0.500 0.000 1
Tm4 Tm 0.580 0.749 0.831 1
Tm5 Tm 0.692 0.192 0.500 1
Tm6 Tm 0.918 0.749 0.169 1
Tm7 Tm 0.999 0.499 0.500 1

=====

# DyHo4Tm3 (PBE, relaxed)
# calculated volume = 31.5 Å³/atom
# formation energy from the elements = 217 meV per atom
# relative energy among the computed polymorphs = 0.217 eV per atom
data_DyHo4Tm3
_cell_length_a 5.543
_cell_length_b 25.767
_cell_length_c 3.526
_cell_angle_alpha 90.00
_cell_angle_beta 90.00
_cell_angle_gamma 90.00
_space_group_name_H-M_alt 'P 1'
_space_group_IT_number 1
_space_group_name_Hall 'P 1'
loop_
_atom_site_label
_atom_site_type_symbol
_atom_site_fract_x
_atom_site_fract_y
_atom_site_fract_z
_atom_site_occupancy
Dy1 Dy 0.000 0.000 0.000 1
Dy2 Dy 0.500 0.500 0.000 1
Ho1 Ho 0.000 0.104 0.500 1
Ho2 Ho 0.000 0.223 0.500 1
Ho3 Ho 0.000 0.777 0.500 1
Ho4 Ho 0.000 0.896 0.500 1
Ho5 Ho 0.500 0.277 0.500 1
Ho6 Ho 0.500 0.396 0.500 1
Ho7 Ho 0.500 0.604 0.500 1
Ho8 Ho 0.500 0.723 0.500 1
Tm1 Tm 0.000 0.344 0.000 1
Tm2 Tm 0.000 0.500 0.500 1
Tm3 Tm 0.000 0.656 0.000 1
Tm4 Tm 0.500 0.000 0.500 1
Tm5 Tm 0.500 0.156 0.000 1
Tm6 Tm 0.500 0.844 0.000 1